No. 1
K3TbF6 (PBE, relaxed); space-group type = P2_1/c, No. 14; spin magnetization = 0.00 μB/f.u.; raw total energy = -52.248 eV per formula unit
1.0
-0.621 -5.521 2.580
6.148 0.195 1.897
-1.821 9.062 4.971
F Tb K
12 2 6
Direct
0.898 0.564 0.269 F
0.102 0.436 0.731 F
0.656 0.677 0.446 F
0.754 0.221 0.424 F
0.754 0.279 0.924 F
0.102 0.064 0.231 F
0.344 0.323 0.554 F
0.656 0.823 0.946 F
0.898 0.936 0.769 F
0.344 0.177 0.054 F
0.246 0.779 0.576 F
0.246 0.721 0.076 F
0.000 0.500 0.500 Tb
0.000 0.000 0.000 Tb
0.500 0.500 0.000 K
0.276 0.062 0.755 K
0.500 0.000 0.500 K
0.724 0.938 0.245 K
0.276 0.438 0.255 K
0.724 0.562 0.745 K


No. 2
KTb3F10 (PBE, relaxed); space-group type = Fm-3m, No. 225; spin magnetization = 0.00 μB/f.u.; raw total energy = -89.320 eV per formula unit
1.0
-4.172 -6.415 -2.654
3.150 5.256 -5.297
4.870 -4.911 4.216
Tb F K
6 20 2
Direct
0.239 0.000 0.761 Tb
0.239 0.000 0.239 Tb
0.761 0.000 0.239 Tb
0.761 0.000 0.761 Tb
0.761 0.521 0.761 Tb
0.239 0.479 0.239 Tb
0.887 0.227 0.113 F
0.500 0.665 0.165 F
0.835 0.335 0.835 F
0.500 0.335 0.835 F
0.500 0.665 0.500 F
0.835 0.335 0.500 F
0.165 0.665 0.165 F
0.165 0.665 0.500 F
0.887 0.773 0.660 F
0.113 0.773 0.887 F
0.500 0.000 0.835 F
0.835 0.000 0.500 F
0.113 0.227 0.340 F
0.660 0.773 0.887 F
0.887 0.773 0.113 F
0.500 0.335 0.500 F
0.113 0.227 0.887 F
0.165 0.000 0.500 F
0.500 0.000 0.165 F
0.340 0.227 0.113 F
0.750 0.500 0.250 K
0.250 0.500 0.750 K


No. 3
K3TcF6 (PBE, relaxed); space-group type = I4/m, No. 87; spin magnetization = 2.00 μB/f.u.; raw total energy = -48.835 eV per formula unit
1.0
-2.941 2.941 4.451
2.941 -2.941 4.451
2.941 2.941 -4.451
F K Tc
6 3 1
Direct
0.864 0.689 0.553 F
0.230 0.230 0.000 F
0.770 0.770 0.000 F
0.311 0.864 0.175 F
0.689 0.136 0.825 F
0.136 0.311 0.447 F
0.250 0.750 0.500 K
0.500 0.500 0.000 K
0.750 0.250 0.500 K
0.000 0.000 0.000 Tc


No. 4
K2TcF6 (PBE, relaxed); space-group type = P-3m1, No. 164; spin magnetization = 3.00 μB/f.u.; raw total energy = -46.357 eV per formula unit
1.0
-3.514 -2.599 3.554
4.890 -2.422 -1.402
1.976 2.009 3.423
K F Tc
2 6 1
Direct
0.333 0.667 0.286 K
0.667 0.333 0.714 K
0.663 0.832 0.762 F
0.832 0.663 0.238 F
0.832 0.168 0.238 F
0.337 0.168 0.238 F
0.168 0.337 0.762 F
0.168 0.832 0.762 F
0.000 0.000 0.000 Tc


No. 5
KTcF6 (PBE, relaxed); space-group type = Fm-3m, No. 225; spin magnetization = 2.00 μB/f.u.; raw total energy = -41.129 eV per formula unit
1.0
0.000 4.318 4.318
4.318 0.000 4.318
4.318 4.318 0.000
K Tc F
1 1 6
Direct
0.000 0.000 0.000 K
0.500 0.500 0.500 Tc
0.718 0.282 0.282 F
0.718 0.718 0.282 F
0.282 0.718 0.282 F
0.282 0.718 0.718 F
0.282 0.282 0.718 F
0.718 0.282 0.718 F


No. 6
K2TlTcF6 (PBE, relaxed); space-group type = Fm-3m, No. 225; spin magnetization = 2.00 μB/f.u.; raw total energy = -47.412 eV per formula unit
1.0
2.751 1.851 5.314
3.146 5.414 0.177
-2.315 4.865 3.196
Tl F Tc K
1 6 1 2
Direct
0.500 0.500 0.500 Tl
0.226 0.226 0.774 F
0.226 0.774 0.774 F
0.774 0.774 0.226 F
0.774 0.226 0.226 F
0.226 0.774 0.226 F
0.774 0.226 0.774 F
0.000 0.000 0.000 Tc
0.250 0.250 0.250 K
0.750 0.750 0.750 K


No. 7
KTh6F25 (PBE, relaxed); space-group type = R-3m, No. 166; spin magnetization = 0.00 μB/f.u.; raw total energy = -222.306 eV per formula unit
1.0
-8.158 0.000 0.000
4.079 -7.065 0.000
-4.079 2.355 8.311
F Th K
25 6 1
Direct
0.752 0.694 0.190 F
0.791 0.209 0.628 F
0.831 0.500 0.500 F
0.000 0.500 0.000 F
0.248 0.752 0.810 F
0.127 0.439 0.186 F
0.752 0.248 0.190 F
0.500 0.831 0.500 F
0.500 0.169 0.500 F
0.169 0.500 0.500 F
0.209 0.791 0.372 F
0.831 0.831 0.500 F
0.561 0.874 0.186 F
0.694 0.752 0.810 F
0.874 0.127 0.814 F
0.126 0.873 0.186 F
0.169 0.169 0.500 F
0.439 0.126 0.814 F
0.500 0.500 0.000 F
0.248 0.306 0.810 F
0.549 0.451 0.353 F
0.500 0.000 0.000 F
0.451 0.549 0.647 F
0.306 0.248 0.190 F
0.873 0.561 0.814 F
0.408 0.090 0.274 Th
0.592 0.910 0.726 Th
0.910 0.592 0.274 Th
0.408 0.592 0.274 Th
0.090 0.408 0.726 Th
0.592 0.408 0.726 Th
0.000 0.000 0.000 K


No. 8
K5ThF9 (PBE, relaxed); space-group type = Cmc2_1, No. 36; spin magnetization = 0.00 μB/f.u.; raw total energy = -78.132 eV per formula unit
1.0
3.849 -6.223 0.000
3.849 6.223 0.000
0.000 0.000 10.108
F K Th
18 10 2
Direct
0.956 0.044 0.422 F
0.044 0.956 0.922 F
0.943 0.494 0.770 F
0.057 0.506 0.270 F
0.798 0.202 0.031 F
0.494 0.943 0.270 F
0.790 0.847 0.178 F
0.356 0.644 0.727 F
0.257 0.743 0.963 F
0.153 0.210 0.178 F
0.847 0.790 0.678 F
0.524 0.476 0.958 F
0.506 0.057 0.770 F
0.476 0.524 0.458 F
0.743 0.257 0.463 F
0.644 0.356 0.227 F
0.210 0.153 0.678 F
0.202 0.798 0.531 F
0.147 0.344 0.901 K
0.401 0.115 0.051 K
0.115 0.401 0.551 K
0.853 0.656 0.401 K
0.580 0.420 0.701 K
0.885 0.599 0.051 K
0.344 0.147 0.401 K
0.420 0.580 0.201 K
0.599 0.885 0.551 K
0.656 0.853 0.901 K
0.835 0.165 0.252 Th
0.165 0.835 0.752 Th


No. 9
KTh2F9 (PBE, relaxed); space-group type = Pnma, No. 62; spin magnetization = 0.00 μB/f.u.; raw total energy = -80.257 eV per formula unit
1.0
8.750 0.000 0.000
0.000 11.385 0.000
0.000 0.000 7.075
Th F K
8 36 4
Direct
0.675 0.951 0.155 Th
0.325 0.049 0.845 Th
0.825 0.451 0.655 Th
0.825 0.049 0.655 Th
0.175 0.951 0.345 Th
0.675 0.549 0.155 Th
0.325 0.451 0.845 Th
0.175 0.549 0.345 Th
0.436 0.583 0.306 F
0.209 0.899 0.025 F
0.715 0.388 0.359 F
0.175 0.750 0.330 F
0.215 0.388 0.141 F
0.064 0.417 0.806 F
0.936 0.917 0.194 F
0.285 0.888 0.641 F
0.564 0.083 0.694 F
0.325 0.250 0.830 F
0.791 0.399 0.975 F
0.825 0.250 0.670 F
0.497 0.604 0.923 F
0.715 0.112 0.359 F
0.503 0.396 0.077 F
0.791 0.101 0.975 F
0.785 0.612 0.859 F
0.785 0.888 0.859 F
0.003 0.396 0.423 F
0.564 0.417 0.694 F
0.209 0.601 0.025 F
0.675 0.750 0.170 F
0.436 0.917 0.306 F
0.291 0.399 0.525 F
0.497 0.896 0.923 F
0.003 0.104 0.423 F
0.936 0.583 0.194 F
0.997 0.896 0.577 F
0.064 0.083 0.806 F
0.503 0.104 0.077 F
0.215 0.112 0.141 F
0.285 0.612 0.641 F
0.291 0.101 0.525 F
0.709 0.899 0.475 F
0.709 0.601 0.475 F
0.997 0.604 0.577 F
0.968 0.250 0.139 K
0.468 0.250 0.361 K
0.532 0.750 0.639 K
0.032 0.750 0.861 K


No. 10
K3UF7 (PBE, relaxed); space-group type = I4_1/a, No. 88; spin magnetization = 2.00 μB/f.u.; raw total energy = -62.877 eV per formula unit
1.0
6.050 -8.395 3.298
-6.008 -9.036 -0.440
1.876 7.744 -7.379
F K U
28 12 4
Direct
0.024 0.862 0.138 F
0.138 0.276 0.162 F
0.726 0.388 0.362 F
0.701 0.548 0.696 F
0.644 0.644 0.000 F
0.026 0.364 0.638 F
0.394 0.894 0.500 F
0.557 0.214 0.804 F
0.612 0.974 0.338 F
0.410 0.753 0.196 F
0.247 0.443 0.657 F
0.724 0.886 0.862 F
0.964 0.660 0.157 F
0.356 0.356 0.000 F
0.049 0.702 0.804 F
0.755 0.951 0.653 F
0.995 0.299 0.847 F
0.503 0.807 0.843 F
0.898 0.245 0.196 F
0.452 0.148 0.153 F
0.852 0.005 0.304 F
0.114 0.976 0.838 F
0.786 0.590 0.343 F
0.636 0.274 0.662 F
0.298 0.102 0.347 F
0.106 0.606 0.500 F
0.193 0.036 0.696 F
0.340 0.497 0.304 F
0.867 0.398 0.049 K
0.568 0.117 0.969 K
0.500 0.500 0.000 K
0.182 0.133 0.531 K
0.750 0.250 0.500 K
0.348 0.818 0.951 K
0.883 0.852 0.451 K
0.402 0.432 0.549 K
0.148 0.598 0.031 K
0.250 0.750 0.500 K
0.602 0.652 0.469 K
0.000 0.000 0.000 K
0.523 0.023 0.500 U
0.977 0.477 0.500 U
0.773 0.773 0.000 U
0.227 0.227 0.000 U


No. 11
KZn5F2 (PBE, relaxed); space-group type = P4/mmm, No. 123; raw total energy = -14.033 eV per formula unit
1.0
4.045 0.000 0.000
0.000 4.045 0.000
0.000 0.000 9.993
F K Zn
2 1 5
Direct
0.500 0.500 0.368 F
0.500 0.500 0.632 F
0.000 0.000 0.000 K
0.000 0.500 0.256 Zn
0.500 0.000 0.744 Zn
0.000 0.500 0.744 Zn
0.500 0.000 0.256 Zn
0.500 0.500 0.000 Zn


No. 12
K2ZnF4 (PBE, relaxed); space-group type = I4/mmm, No. 139; relative energy among the computed polymorphs = 0 meV/atom
1.0
2.596 -5.716 3.163
-3.043 -5.323 3.439
0.004 4.078 -5.726
F K Zn
4 2 1
Direct
0.842 0.842 0.000 F
0.500 0.000 0.500 F
0.158 0.158 0.000 F
0.000 0.500 0.500 F
0.353 0.353 0.000 K
0.647 0.647 0.000 K
0.000 0.000 0.000 Zn


Please write out number 5 again, unchanged.
KTcF6 (PBE, relaxed); space-group type = Fm-3m, No. 225; spin magnetization = 2.00 μB/f.u.; raw total energy = -41.129 eV per formula unit
1.0
0.000 4.318 4.318
4.318 0.000 4.318
4.318 4.318 0.000
K Tc F
1 1 6
Direct
0.000 0.000 0.000 K
0.500 0.500 0.500 Tc
0.718 0.282 0.282 F
0.718 0.718 0.282 F
0.282 0.718 0.282 F
0.282 0.718 0.718 F
0.282 0.282 0.718 F
0.718 0.282 0.718 F